Record 1
AgHgNO | PBE | optimized geometry

Calculated values
Excess energy over the best structure of this formula in the dataset in meV/atom: 51.3
Symmetry: No. 26
Crystal system: orthorhombic
Raw total energy in eV per cell: -26.1

a = 3.5641 Å, b = 5.8340 Å, c = 6.2882 Å
α = 90.00°, β = 90.00°, γ = 90.00°
Positions (direct):
Ag1 0.0000 0.5126 0.3555
Ag2 0.0000 0.0126 0.6445
Hg1 0.5000 0.9911 0.1669
Hg2 0.5000 0.4911 0.8331
N1 0.0000 0.8644 0.3458
N2 0.0000 0.3644 0.6542
O1 0.5000 0.3859 0.1758
O2 0.5000 0.8859 0.8242



Record 2
Hf2Nb4Ga3N3 | PBE | optimized geometry

Calculated values
Total moment in Bohr magnetons per cell: 0.00
Symmetry: No. 15
Crystal system: monoclinic
Raw total energy in eV per cell: -208.9

a = 5.4892 Å, b = 5.4892 Å, c = 13.8623 Å
α = 101.31°, β = 101.31°, γ = 60.22°
Positions (direct):
Ga1 0.7900 0.5789 0.2484
Ga2 0.0435 0.9565 0.2500
Ga3 0.4211 0.2100 0.2516
Ga4 0.5789 0.7900 0.7484
Ga5 0.9565 0.0435 0.7500
Ga6 0.2100 0.4211 0.7516
Hf1 0.3628 0.5315 0.0970
Hf2 0.4685 0.6372 0.4030
Hf3 0.5315 0.3628 0.5970
Hf4 0.6372 0.4685 0.9030
N1 0.0000 0.5000 0.0000
N2 0.6540 0.1922 0.0001
N3 0.8078 0.3460 0.4999
N4 0.5000 0.0000 0.5000
N5 0.1922 0.6540 0.5001
N6 0.3460 0.8078 0.9999
Nb1 0.0367 0.1870 0.0857
Nb2 0.6961 0.8680 0.0858
Nb3 0.1320 0.3039 0.4142
Nb4 0.8130 0.9633 0.4143
Nb5 0.1870 0.0367 0.5857
Nb6 0.8680 0.6961 0.5858
Nb7 0.3039 0.1320 0.9142
Nb8 0.9633 0.8130 0.9143



Record 3
ZrCu2SeS2 | PBE | optimized geometry

Calculated values
Total moment in Bohr magnetons per cell: 0.01
Excess energy over the best structure of this formula in the dataset in meV/atom: 0.0
Symmetry: No. 12
Crystal system: monoclinic
Raw total energy in eV per cell: -65.5

a = 9.6843 Å, b = 9.6843 Å, c = 6.8408 Å
α = 97.78°, β = 97.78°, γ = 22.77°
Positions (direct):
Cu1 0.7936 0.7936 0.0617
Cu2 0.4560 0.4560 0.3291
Cu3 0.5440 0.5440 0.6709
Cu4 0.2064 0.2064 0.9383
S1 0.9142 0.9142 0.1621
S2 0.5802 0.5802 0.3452
S3 0.4198 0.4198 0.6548
S4 0.0858 0.0858 0.8379
Se1 0.2539 0.2539 0.2843
Se2 0.7461 0.7461 0.7157
Zr1 0.8570 0.8570 0.4630
Zr2 0.1430 0.1430 0.5370



Record 4
K3Zn2Cl7 | PBE | optimized geometry

Calculated values
Excess energy over the best structure of this formula in the dataset in meV/atom: 0.0
Symmetry: No. 2
Crystal system: triclinic
Raw total energy in eV per cell: -75.0

a = 6.9012 Å, b = 10.6881 Å, c = 10.9844 Å
α = 118.12°, β = 107.19°, γ = 90.55°
Positions (direct):
Cl1 0.2679 0.5037 0.0118
Cl2 0.7523 0.1870 0.0153
Cl3 0.2747 0.1921 0.0317
Cl4 0.6614 0.8272 0.2886
Cl5 0.6919 0.4926 0.3360
Cl6 0.1285 0.1412 0.3395
Cl7 0.3175 0.7322 0.4501
Cl8 0.6825 0.2678 0.5499
Cl9 0.8715 0.8588 0.6605
Cl10 0.3081 0.5074 0.6640
Cl11 0.3386 0.1728 0.7114
Cl12 0.7253 0.8079 0.9683
Cl13 0.2477 0.8130 0.9847
Cl14 0.7321 0.4963 0.9882
K1 0.0886 0.8052 0.2147
K2 0.6155 0.0926 0.2173
K3 0.1296 0.4089 0.2856
K4 0.8704 0.5911 0.7144
K5 0.3845 0.9074 0.7827
K6 0.9114 0.1948 0.7853
Zn1 0.4985 0.6693 0.0003
Zn2 0.6400 0.7250 0.4291
Zn3 0.3600 0.2750 0.5709
Zn4 0.5015 0.3307 0.9997



> raw total energy of number 3 (ZrCu2SeS2)?

-65.5 eV per cell



> The lowest raw total energy belongs to which entry?

Hf2Nb4Ga3N3



> Which of these has the highest raw total energy?

AgHgNO



Copy entry 2 word for word.
Hf2Nb4Ga3N3 | PBE | optimized geometry

Calculated values
Total moment in Bohr magnetons per cell: 0.00
Symmetry: No. 15
Crystal system: monoclinic
Raw total energy in eV per cell: -208.9

a = 5.4892 Å, b = 5.4892 Å, c = 13.8623 Å
α = 101.31°, β = 101.31°, γ = 60.22°
Positions (direct):
Ga1 0.7900 0.5789 0.2484
Ga2 0.0435 0.9565 0.2500
Ga3 0.4211 0.2100 0.2516
Ga4 0.5789 0.7900 0.7484
Ga5 0.9565 0.0435 0.7500
Ga6 0.2100 0.4211 0.7516
Hf1 0.3628 0.5315 0.0970
Hf2 0.4685 0.6372 0.4030
Hf3 0.5315 0.3628 0.5970
Hf4 0.6372 0.4685 0.9030
N1 0.0000 0.5000 0.0000
N2 0.6540 0.1922 0.0001
N3 0.8078 0.3460 0.4999
N4 0.5000 0.0000 0.5000
N5 0.1922 0.6540 0.5001
N6 0.3460 0.8078 0.9999
Nb1 0.0367 0.1870 0.0857
Nb2 0.6961 0.8680 0.0858
Nb3 0.1320 0.3039 0.4142
Nb4 0.8130 0.9633 0.4143
Nb5 0.1870 0.0367 0.5857
Nb6 0.8680 0.6961 0.5858
Nb7 0.3039 0.1320 0.9142
Nb8 0.9633 0.8130 0.9143